No. 1
DFT (PBE-GGA) results for a relaxed K2Hg2Br5 crystal.

Properties
space-group type: C2/m
raw formation energy: -92.7 kJ per mole of atoms

Cell: 5.698 8.227 8.317 Å, 115.22 90.00 110.26°
Atoms (fractional coordinates):
K 0.388 0.777 0.710
Hg 0.873 0.747 0.161
K 0.612 0.223 0.290
Br 0.000 0.000 0.000
Br 0.362 0.724 0.110
Br 0.149 0.298 0.529
Br 0.638 0.276 0.890
Br 0.851 0.702 0.471
Hg 0.127 0.253 0.839

No. 2
DFT (PBE-GGA) results for a relaxed KSrCrCl6 crystal.

Properties
space-group type: P-31c
raw formation energy: -169.4 kJ per mole of atoms

Cell: 7.028 7.028 13.012 Å, 90.00 90.00 120.00°
Atoms (fractional coordinates):
Cr 0.667 0.333 0.250
Cl 0.056 0.396 0.643
K 0.000 0.000 0.000
Sr 0.333 0.667 0.250
Cl 0.056 0.661 0.857
Cl 0.396 0.056 0.143
Cl 0.661 0.056 0.357
Sr 0.667 0.333 0.750
Cl 0.604 0.661 0.643
Cl 0.339 0.396 0.857
Cl 0.944 0.339 0.143
Cl 0.396 0.339 0.357
Cl 0.339 0.944 0.643
Cl 0.604 0.944 0.857
Cr 0.333 0.667 0.750
Cl 0.944 0.604 0.357
K 0.000 0.000 0.500
Cl 0.661 0.604 0.143

No. 3
DFT (PBE-GGA) results for a relaxed SbN2 crystal.

Properties
space-group type: P1
raw formation energy: 26.4 kJ per mole of atoms

Cell: 3.291 3.291 9.647 Å, 84.01 86.53 55.08°
Atoms (fractional coordinates):
N 0.772 0.035 0.994
Sb 0.282 0.027 0.555
N 0.790 0.014 0.110

No. 4
DFT (PBE-GGA) results for a relaxed Dy4GaPSe2 crystal.

Properties
space-group type: P2/m
raw formation energy: -140.9 kJ per mole of atoms

Cell: 4.011 7.159 7.116 Å, 71.32 90.00 90.00°
Atoms (fractional coordinates):
Se 0.500 0.000 0.500
Dy 0.500 0.268 0.741
Se 0.000 0.000 0.000
Dy 0.500 0.732 0.259
Dy 0.000 0.258 0.252
Dy 0.000 0.742 0.748
Ga 0.500 0.500 0.000
P 0.000 0.500 0.500

No. 5
DFT (PBE-GGA) results for a relaxed BaTm3Se4O12 crystal.

Properties
space-group type: R32
raw formation energy: -168.8 kJ per mole of atoms

Cell: 7.428 7.428 7.428 Å, 107.23 107.23 107.23°
Atoms (fractional coordinates):
O 0.224 0.361 0.956
O 0.888 0.500 0.112
O 0.776 0.044 0.639
O 0.339 0.661 0.500
O 0.500 0.112 0.888
Se 0.500 0.500 0.500
Se 0.947 0.053 0.500
O 0.500 0.339 0.661
Se 0.053 0.500 0.947
O 0.044 0.639 0.776
Tm 0.000 0.557 0.443
Ba 0.000 0.000 0.000
O 0.112 0.888 0.500
O 0.956 0.224 0.361
Tm 0.557 0.443 0.000
Se 0.500 0.947 0.053
O 0.661 0.500 0.339
O 0.639 0.776 0.044
O 0.361 0.956 0.224
Tm 0.443 0.000 0.557

No. 6
DFT (PBE-GGA) results for a relaxed CuNiSb2I crystal.

Properties
space-group type: P4/mmm
ΔE to the lowest computed polymorph: 0.000 eV per atom
raw formation energy: 60.7 kJ per mole of atoms

Cell: 4.915 4.915 5.447 Å, 90.00 90.00 90.00°
Atoms (fractional coordinates):
Ni 0.000 0.000 0.000
Cu 0.500 0.500 0.500
I 0.000 0.000 0.500
Sb 0.000 0.500 0.000
Sb 0.500 0.000 0.000

No. 7
DFT (PBE-GGA) results for a relaxed Ca3AgF7 crystal.

Properties
space-group type: Cmcm
raw formation energy: -323.0 kJ per mole of atoms

Cell: 6.833 6.833 7.624 Å, 90.00 90.00 107.20°
Atoms (fractional coordinates):
Ca 0.500 0.500 0.000
Ca 0.991 0.475 0.250
Ca 0.500 0.500 0.500
F 0.870 0.130 0.250
F 0.872 0.617 0.012
F 0.128 0.382 0.988
Ca 0.475 0.991 0.750
F 0.383 0.128 0.488
F 0.618 0.872 0.512
F 0.872 0.618 0.488
Ca 0.009 0.525 0.750
F 0.128 0.383 0.512
Ag 0.000 0.000 0.500
F 0.130 0.870 0.750
Ag 0.000 0.000 0.000
F 0.381 0.619 0.750
F 0.619 0.381 0.250
F 0.617 0.872 0.988
F 0.650 0.350 0.750
F 0.382 0.128 0.012
Ca 0.525 0.009 0.250
F 0.350 0.650 0.250

No. 8
DFT (PBE-GGA) results for a relaxed PuP2H2CO6 crystal.

Properties
space-group type: C2/m
raw total energy: -7.730 eV/atom

Cell: 8.142 8.142 5.392 Å, 77.87 77.87 116.22°
Atoms (fractional coordinates):
O 0.576 0.294 0.297
O 0.743 0.986 0.327
P 0.129 0.363 0.369
O 0.612 0.996 0.801
O 0.004 0.388 0.199
O 0.257 0.014 0.673
H 0.904 0.904 0.765
O 0.014 0.257 0.673
O 0.424 0.706 0.703
O 0.388 0.004 0.199
C 0.776 0.776 0.765
O 0.706 0.424 0.703
O 0.986 0.743 0.327
H 0.096 0.096 0.235
C 0.224 0.224 0.235
O 0.996 0.612 0.801
Pu 0.765 0.235 0.000
P 0.637 0.871 0.631
P 0.363 0.129 0.369
Pu 0.235 0.765 0.000
H 0.313 0.313 0.021
O 0.294 0.576 0.297
P 0.871 0.637 0.631
H 0.687 0.687 0.979

Number 4 is which compound?
Dy4GaPSe2